No. 1
Below is an optimized crystal structure of SrMg2Ru, with properties calculated at the GGA-PBE level.

Lattice parameters (Å, degrees): 3.480 3.480 7.582 90.00 90.00 90.00
Space group P4/mmm (No. 123)
One atom of each set of equivalent atoms:
Sr  0.000  0.000  0.000 (multiplicity 1)
Mg  0.500  0.500  0.325 (multiplicity 2)
Ru  0.000  0.000  0.500 (multiplicity 1)

## Properties
* formation energy from the elements: 0.14 eV/atom

***

No. 2
Below is an optimized crystal structure of Pm3PrNd2Tm6, with properties calculated at the GGA-PBE level.

Lattice parameters (Å, degrees): 6.220 10.770 11.719 90.00 100.16 90.00
Space group C2/m (No. 12)
One atom of each set of equivalent atoms:
Pm  0.000  0.000  0.000 (multiplicity 2)
Pm  0.000  0.333  0.000 (multiplicity 4)
Pr  0.000  0.500  0.500 (multiplicity 2)
Nd  0.000  0.167  0.500 (multiplicity 4)
Tm  0.249  0.167  0.249 (multiplicity 8)
Tm  0.249  0.500  0.249 (multiplicity 4)

## Properties
* formation energy from the elements: 0.02 eV/atom

***

No. 3
Below is an optimized crystal structure of Zr2TePtO, with properties calculated at the GGA-PBE level.

Lattice parameters (Å, degrees): 5.157 5.157 5.087 90.00 90.00 90.00
Space group P4/mmm (No. 123)
One atom of each set of equivalent atoms:
Zr  0.000  0.500  0.000 (multiplicity 2)
Te  0.000  0.000  0.500 (multiplicity 1)
Pt  0.000  0.000  0.000 (multiplicity 1)
O  0.500  0.500  0.500 (multiplicity 1)

## Properties
* E_form (uncorrected): 0.615 eV per atom

***

No. 4
Below is an optimized crystal structure of LiPmGdRu, with properties calculated at the GGA-PBE level.

Lattice parameters (Å, degrees): 7.063 7.063 7.063 90.00 90.00 90.00
Space group F-43m (No. 216)
One atom of each set of equivalent atoms:
Li  0.000  0.000  0.000 (multiplicity 4)
Pm  0.250  0.250  0.750 (multiplicity 4)
Gd  0.250  0.250  0.250 (multiplicity 4)
Ru  0.000  0.000  0.500 (multiplicity 4)

## Properties
* formation energy from the elements: -0.20 eV/atom

***

No. 5
Below is an optimized crystal structure of CuTcSeN2, with properties calculated at the GGA-PBE level.

Lattice parameters (Å, degrees): 3.769 3.769 5.470 90.00 90.00 90.00
Space group P4/mmm (No. 123)
One atom of each set of equivalent atoms:
Cu  0.000  0.000  0.000 (multiplicity 1)
Tc  0.500  0.500  0.500 (multiplicity 1)
Se  0.500  0.500  0.000 (multiplicity 1)
N  0.000  0.500  0.500 (multiplicity 2)

## Properties
* excess energy over the best structure of this formula in the dataset: 0.000 eV per atom
* E_form (uncorrected): 0.595 eV per atom

***

No. 6
Below is an optimized crystal structure of Rb2PdCl4F2, with properties calculated at the GGA-PBE level.

Lattice parameters (Å, degrees): 6.902 6.902 10.014 90.00 90.00 90.00
Space group I4/mmm (No. 139)
One atom of each set of equivalent atoms:
Rb  0.000  0.500  0.250 (multiplicity 4)
Pd  0.000  0.000  0.000 (multiplicity 2)
Cl  0.240  0.240  0.000 (multiplicity 8)
F  0.000  0.000  0.197 (multiplicity 4)

## Properties
* E_form (uncorrected): -1.456 eV per atom

***

No. 7
Below is an optimized crystal structure of Mg2CuGeMo, with properties calculated at the GGA-PBE level.

Lattice parameters (Å, degrees): 5.013 5.013 4.479 90.00 90.00 90.00
Space group P4/mmm (No. 123)
One atom of each set of equivalent atoms:
Mg  0.000  0.500  0.000 (multiplicity 2)
Cu  0.000  0.000  0.500 (multiplicity 1)
Ge  0.000  0.000  0.000 (multiplicity 1)
Mo  0.500  0.500  0.500 (multiplicity 1)

## Properties
* formation energy from the elements: 1.01 eV/atom

***

No. 8
Below is an optimized crystal structure of K2Dy2PuO6, with properties calculated at the GGA-PBE level.

Lattice parameters (Å, degrees): 6.022 10.421 6.674 90.00 107.38 90.00
Space group C2/m (No. 12)
One atom of each set of equivalent atoms:
K  0.000  0.168  0.000 (multiplicity 4)
Dy  0.000  0.334  0.500 (multiplicity 4)
Pu  0.000  0.000  0.500 (multiplicity 2)
O  0.217  0.167  0.674 (multiplicity 8)
O  0.239  0.500  0.673 (multiplicity 4)

## Properties
* E_form (uncorrected): -2.830 eV per atom